Material: TbDy3In
Method: DFT, PBE-GGA
State: relaxed

The space group is C2/m (No. 12) and the conventional cell measures 16.6259, 5.2040 and 6.8867 Å, with angles of 90.00, 90.22 and 90.00 degrees. The distinct sites, in fractional coordinates, are Tb at (0.1096, 0.0000, 0.4954), Dy at (0.0042, 0.5000, 0.7505), Dy at (0.1100, 0.0000, 0.0030), Dy at (0.2040, 0.5000, 0.2504) and In at (0.1973, 0.5000, 0.7513).

The calculation puts the density of states at the Fermi level at 1.424 states/eV per atom. Its total energy is -4.42 eV per atom. The calculated formation energy is -0.186 eV per atom.



Material: LiSi2S4
Method: DFT, PBE-GGA
State: relaxed

The space group is I4/m (No. 87) and the conventional cell measures 7.3031, 7.3031 and 5.8246 Å, with angles of 90.00, 90.00 and 90.00 degrees. The distinct sites, in fractional coordinates, are Li at (0.0000, 0.0000, 0.0000), Si at (0.0000, 0.5000, 0.2500) and S at (0.1504, 0.6724, 0.0000).

The calculation puts the density of states at the Fermi level at 0.500 states/eV per atom. Its total energy is -4.76 eV per atom. Its uncorrected formation energy is -0.58 eV/atom.



Material: ThGe2
Method: DFT, PBE-GGA
State: relaxed

The space group is P2_1/m (No. 11) and the conventional cell measures 4.1628, 4.0235 and 8.7345 Å, with angles of 90.00, 103.76 and 90.00 degrees. The distinct sites, in fractional coordinates, are Th at (0.1070, 0.2500, 0.2153), Ge at (0.2513, 0.7500, 0.5018) and Ge at (0.4519, 0.2500, 0.9032).

The calculation puts the density of states at the Fermi level at 0.196 states/eV per atom. Its total energy is -6.16 eV per atom. The calculated formation energy is -0.609 eV per atom.